Record 1
DFT (PBE) results for crystalline LiAc2NpO6 at its relaxed geometry.

```
20
Lattice="5.933 0.000 0.000 0.000 6.125 0.000 -5.894 0.000 8.415" Properties=species:S:1:pos:R:3 pbc="T T T"
Li 0.000 0.000 0.000
Li -2.947 3.062 4.207
Ac -3.001 0.332 6.309
Ac -0.054 2.730 2.102
Ac 0.093 3.394 6.313
Ac 3.040 5.793 2.106
Np 0.019 0.000 4.207
Np 2.966 3.062 0.000
O -1.707 1.142 3.798
O -4.654 1.920 8.005
O -1.111 4.342 3.718
O -4.058 4.845 7.925
O 0.627 0.242 2.153
O -2.320 2.820 6.360
O 2.359 3.304 2.054
O -0.588 5.883 6.262
O 4.097 1.279 0.489
O 1.150 1.783 4.697
O 4.692 4.205 0.410
O 1.745 4.982 4.617
```

The total energy is -8.310 eV/atom. As for the density of states at the Fermi level: 14.5 states/eV/cell. For the volume, the calculation gives 15.288 Å³/atom. The magnetization comes out at 4.00 Bohr magnetons per cell.

---

Record 2
DFT (PBE) results for crystalline CoIr4Ru at its relaxed geometry.

```
12
Lattice="1.362 -7.000 0.000 1.362 7.000 0.000 0.000 0.000 8.750" Properties=species:S:1:pos:R:3 pbc="T T T"
Co 1.362 4.655 4.375
Co 1.362 -4.655 0.000
Ir 1.362 6.193 6.517
Ir 1.362 4.602 8.743
Ir 1.362 1.604 6.611
Ir 1.362 0.009 8.727
Ir 1.362 -0.009 4.353
Ir 1.362 -1.604 2.236
Ir 1.362 -4.602 4.368
Ir 1.362 -6.193 2.142
Ru 1.362 3.104 2.170
Ru 1.362 -3.104 6.545
```

As for the formation energy: 0.3 eV per formula unit. The polymorph energy (0 for the lowest one) comes out at 31 meV/atom. The total energy is -8.594 eV/atom. As for the density of states at the Fermi level: 14.5 states/eV/cell. For the volume, the calculation gives 13.902 Å³/atom. The magnetization comes out at 2.23 Bohr magnetons per cell.

---

Record 3
DFT (PBE) results for crystalline Na2SnPtO4 at its relaxed geometry.

```
16
Lattice="5.946 0.000 0.000 0.000 5.946 0.000 0.000 0.000 6.299" Properties=species:S:1:pos:R:3 pbc="T T T"
Na 0.000 0.000 0.000
Na 0.000 2.973 1.575
Na 2.973 0.000 4.724
Na 2.973 2.973 3.149
Sn 0.000 0.000 3.149
Sn 2.973 2.973 0.000
Pt 0.000 2.973 4.724
Pt 2.973 0.000 1.575
O 0.963 1.163 4.514
O 1.163 4.983 1.784
O 1.810 3.936 4.934
O 2.010 1.810 1.365
O 3.936 4.136 1.365
O 4.136 2.010 4.934
O 4.784 0.963 1.784
O 4.983 4.784 4.514
```

The total energy is -5.277 eV/atom. For the volume, the calculation gives 13.919 Å³/atom. The magnetization comes out at 0.00 Bohr magnetons per cell.

---

Record 4
DFT (PBE) results for crystalline Ca3ZrRh at its relaxed geometry.

```
5
Lattice="5.494 0.000 0.000 0.000 5.494 0.000 0.000 0.000 5.494" Properties=species:S:1:pos:R:3 pbc="T T T"
Ca 0.000 0.000 2.747
Ca 0.000 2.747 0.000
Ca 2.747 0.000 0.000
Zr 0.000 0.000 0.000
Rh 2.747 2.747 2.747
```

As for the formation energy: 6.9 eV per formula unit. The polymorph energy (0 for the lowest one) comes out at 1056 meV/atom. The total energy is -2.998 eV/atom. As for the density of states at the Fermi level: 7.9 states/eV/cell. For the volume, the calculation gives 33.170 Å³/atom. The magnetization comes out at 2.82 Bohr magnetons per cell.

---

Record 5
DFT (PBE) results for crystalline CuSb2Os at its relaxed geometry.

```
16
Lattice="6.069 0.000 0.000 0.000 6.069 0.000 0.000 0.000 11.358" Properties=species:S:1:pos:R:3 pbc="T T T"
Cu 0.000 0.000 0.000
Cu 0.000 3.034 2.839
Cu 3.034 0.000 8.518
Cu 3.034 3.034 5.679
Sb 1.483 1.517 7.099
Sb 1.517 4.517 9.938
Sb 1.517 4.586 4.259
Sb 1.552 1.517 1.420
Sb 4.517 4.552 1.420
Sb 4.552 1.483 4.259
Sb 4.552 1.552 9.938
Sb 4.586 4.552 7.099
Os 0.000 0.000 5.679
Os 0.000 3.034 8.518
Os 3.034 0.000 2.839
Os 3.034 3.034 0.000
```

The polymorph energy (0 for the lowest one) comes out at 265 meV/atom. The total energy is -5.330 eV/atom. As for the density of states at the Fermi level: 9.7 states/eV/cell. For the volume, the calculation gives 26.145 Å³/atom. The magnetization comes out at 0.00 Bohr magnetons per cell.

---

Record 6
DFT (PBE) results for crystalline BaFeAg2 at its relaxed geometry.

```
8
Lattice="3.768 0.000 0.000 0.000 3.987 0.000 0.000 0.000 13.863" Properties=species:S:1:pos:R:3 pbc="T T T"
Ba 0.000 0.000 0.000
Ba 1.884 1.993 6.932
Fe 0.000 1.993 9.901
Fe 1.884 0.000 2.969
Ag 0.000 0.000 4.903
Ag 0.000 1.993 2.826
Ag 1.884 0.000 9.757
Ag 1.884 1.993 11.835
```

As for the formation energy: 1.6 eV per formula unit. The polymorph energy (0 for the lowest one) comes out at 200 meV/atom. The total energy is -3.623 eV/atom. As for the density of states at the Fermi level: 6.7 states/eV/cell. For the volume, the calculation gives 26.032 Å³/atom. The magnetization comes out at 6.07 Bohr magnetons per cell.

---

Record 7
DFT (PBE) results for crystalline KFe2As at its relaxed geometry.

```
8
Lattice="4.696 0.000 0.000 0.000 4.696 0.000 0.000 0.000 6.617" Properties=species:S:1:pos:R:3 pbc="T T T"
K 0.000 0.000 0.000
K 2.348 2.348 3.308
Fe 0.000 0.000 3.308
Fe 0.000 2.348 1.654
Fe 2.348 0.000 4.962
Fe 2.348 2.348 0.000
As 0.000 2.348 4.962
As 2.348 0.000 1.654
```

As for the formation energy: 3.4 eV per formula unit. The total energy is -4.813 eV/atom. As for the density of states at the Fermi level: 6.4 states/eV/cell. For the volume, the calculation gives 18.243 Å³/atom. The magnetization comes out at 12.14 Bohr magnetons per cell.

---

Record 8
DFT (PBE) results for crystalline Pm3Bi2O2 at its relaxed geometry.

```
14
Lattice="12.815 0.000 0.000 0.000 4.063 0.000 -4.078 0.000 6.734" Properties=species:S:1:pos:R:3 pbc="T T T"
Pm 0.000 0.000 0.000
Pm -0.607 0.000 5.233
Pm 2.937 2.032 1.500
Pm 6.408 2.032 0.000
Pm 5.800 2.032 5.233
Pm 9.345 0.000 1.500
Bi -0.589 2.032 2.419
Bi 2.919 0.000 4.314
Bi 5.819 0.000 2.419
Bi 9.327 2.032 4.314
O 2.304 0.000 0.520
O 0.026 2.032 6.214
O 8.711 2.032 0.520
O 6.434 0.000 6.214
```

The polymorph energy (0 for the lowest one) comes out at 0 meV/atom. The total energy is -6.605 eV/atom. As for the density of states at the Fermi level: 6.6 states/eV/cell. For the volume, the calculation gives 25.047 Å³/atom. The magnetization comes out at 0.00 Bohr magnetons per cell.

---

Record 9
DFT (PBE) results for crystalline ErGa4Cu at its relaxed geometry.

```
12
Lattice="4.092 0.000 0.000 0.000 6.758 0.000 -1.928 0.000 7.729" Properties=species:S:1:pos:R:3 pbc="T T T"
Er 0.048 1.689 1.858
Er 2.116 5.068 5.871
Ga 0.010 5.068 1.028
Ga 0.062 0.333 4.931
Ga 0.062 3.046 4.931
Ga 2.046 0.000 0.000
Ga 2.046 3.379 0.000
Ga 2.103 3.712 2.798
Ga 2.103 6.425 2.798
Ga 2.155 1.689 6.701
Cu 0.064 5.068 3.467
Cu 2.101 1.689 4.263
```

As for the formation energy: -2.2 eV per formula unit. The total energy is -3.834 eV/atom. As for the density of states at the Fermi level: 4.1 states/eV/cell. For the volume, the calculation gives 17.812 Å³/atom. The magnetization comes out at 0.00 Bohr magnetons per cell.

---

Record 10
DFT (PBE) results for crystalline NpNF at its relaxed geometry.

```
6
Lattice="3.255 0.000 0.000 0.000 3.255 0.000 0.000 0.000 9.787" Properties=species:S:1:pos:R:3 pbc="T T T"
Np 0.000 0.000 0.000
Np 1.628 1.628 4.893
N 0.000 0.000 4.904
N 1.628 1.628 0.011
F 0.000 0.000 2.112
F 1.628 1.628 7.006
```

The total energy is -9.405 eV/atom. As for the density of states at the Fermi level: 7.9 states/eV/cell. For the volume, the calculation gives 17.282 Å³/atom. The magnetization comes out at 6.00 Bohr magnetons per cell.

---

Record 11
DFT (PBE) results for crystalline La2AlTl at its relaxed geometry.

```
16
Lattice="7.703 0.000 0.000 0.000 7.703 0.000 0.000 0.000 7.703" Properties=species:S:1:pos:R:3 pbc="T T T"
La 0.000 0.000 0.000
La 0.000 3.852 3.852
La 1.926 1.926 1.926
La 1.926 5.777 5.777
La 3.852 0.000 3.852
La 3.852 3.852 0.000
La 5.777 1.926 5.777
La 5.777 5.777 1.926
Al 0.000 0.000 3.852
Al 0.000 3.852 0.000
Al 3.852 0.000 0.000
Al 3.852 3.852 3.852
Tl 1.926 1.926 5.777
Tl 1.926 5.777 1.926
Tl 5.777 1.926 1.926
Tl 5.777 5.777 5.777
```

As for the formation energy: 0.3 eV per formula unit. The total energy is -3.921 eV/atom. As for the density of states at the Fermi level: 30.5 states/eV/cell. For the volume, the calculation gives 28.570 Å³/atom. The magnetization comes out at 0.03 Bohr magnetons per cell.

---

Record 12
DFT (PBE) results for crystalline AsPt2Au at its relaxed geometry.

```
8
Lattice="6.512 0.000 0.000 0.000 3.783 0.000 -2.216 0.000 5.881" Properties=species:S:1:pos:R:3 pbc="T T T"
As 0.000 0.000 0.000
As 3.256 1.891 0.000
Pt 1.075 1.891 1.272
Pt -0.035 0.000 4.609
Pt 4.331 0.000 1.272
Pt 3.220 1.891 4.609
Au -1.108 1.891 2.941
Au 2.148 0.000 2.941
```

As for the formation energy: -0.3 eV per formula unit. The total energy is -5.070 eV/atom. As for the density of states at the Fermi level: 3.2 states/eV/cell. For the volume, the calculation gives 18.110 Å³/atom. The magnetization comes out at 0.00 Bohr magnetons per cell.

---

The highest magnetization belongs to which entry? KFe2As

---

What did the twelfth record say?
DFT (PBE) results for crystalline AsPt2Au at its relaxed geometry.

```
8
Lattice="6.512 0.000 0.000 0.000 3.783 0.000 -2.216 0.000 5.881" Properties=species:S:1:pos:R:3 pbc="T T T"
As 0.000 0.000 0.000
As 3.256 1.891 0.000
Pt 1.075 1.891 1.272
Pt -0.035 0.000 4.609
Pt 4.331 0.000 1.272
Pt 3.220 1.891 4.609
Au -1.108 1.891 2.941
Au 2.148 0.000 2.941
```

As for the formation energy: -0.3 eV per formula unit. The total energy is -5.070 eV/atom. As for the density of states at the Fermi level: 3.2 states/eV/cell. For the volume, the calculation gives 18.110 Å³/atom. The magnetization comes out at 0.00 Bohr magnetons per cell.

---

What is the magnetization in the second record? 2.23 Bohr magnetons per cell